CsCr2BO8 | PBE with a Hubbard U | optimized geometry

The structure in extended XYZ format:
```
12
Lattice="2.448 1.413 8.999 -2.448 1.413 8.999 0.000 -2.827 8.999" Properties=species:S:1:pos:R:3 pbc="T T T"
Cs 0.000 0.000 0.000
Cr 0.000 0.000 6.021
Cr 0.000 0.000 20.975
B 0.000 0.000 13.498
O -0.899 -1.035 12.501
O 0.000 0.000 7.668
O -1.346 0.262 14.496
O 0.446 -1.296 14.496
O -0.446 1.296 12.501
O 1.346 -0.262 12.501
O 0.000 0.000 19.328
O 0.899 1.035 14.496
```

Fermi-level density of states = 0.000 states/eV/atom
mass density = 3.3 g cm⁻³
uncorrected energy = -77.33 eV/f.u.